BRu2Pt: optimized geometry, PBE.

Computed properties:
D(E_F) (states/eV per cell): 6.3
E (eV per atom): -7.805

Cell and atoms, written as extended XYZ:
```
4
Lattice="1.444 0.834 7.098 -1.444 0.834 7.098 0.000 -1.667 7.098" Properties=species:S:1:pos:R:3 pbc="T T T"
B 0.000 0.000 0.000
Ru 0.000 0.000 8.388
Ru 0.000 0.000 12.899
Pt 0.000 0.000 3.488
```